No. 1
Crystalline La2Pm2CN2 at its relaxed geometry. Source: the Alexandria database, functional GGA-PBE.

Properties
* crystal system: triclinic
* M_tot: 0.00 μB per cell
* volume: 147 Å³/cell

abc: 3.6560 6.3701 7.2215
angles: 114.82 104.64 90.08
With the nearest neighbours (Å) after each atom.
Fractional positions:
La (0.1256, 0.2852, 0.2520)  2 C 2.64, 3 N 2.74-2.75
La (0.8744, 0.7148, 0.7480)  2 C 2.64, 3 N 2.74-2.75
Pm (0.3614, 0.1802, 0.7222)  3 N 2.42-2.47, 1 C 2.65
Pm (0.6386, 0.8198, 0.2778)  3 N 2.42-2.47, 1 C 2.65
C (0.5000, 0.0000, 0.0000)  4 La 2.64, 2 Pm 2.65
N (0.2369, 0.7607, 0.4762)  3 Pm 2.42-2.47
N (0.7631, 0.2393, 0.5238)  3 Pm 2.42-2.47


No. 2
Crystalline RbLaCN2 at its relaxed geometry. Source: the Alexandria database, functional GGA-PBE.

Properties
* crystal system: tetragonal
* M_tot: 0.34 μB per cell
* volume: 105 Å³/cell

abc: 4.6025 4.6025 4.9738
angles: 90.00 90.00 90.00
With the nearest neighbours (Å) after each atom.
Fractional positions:
Rb (0.0000, 0.0000, 0.0000)  4 C 3.25, 8 N 3.39
La (0.5000, 0.5000, 0.5000)  4 N 2.30, 2 C 2.49
C (0.5000, 0.5000, 0.0000)  2 La 2.49
N (0.0000, 0.5000, 0.5000)  2 La 2.30
N (0.5000, 0.0000, 0.5000)  2 La 2.30


No. 3
Crystalline LaCSN2 at its relaxed geometry. Source: the Alexandria database, functional GGA-PBE.

Properties
* crystal system: tetragonal
* M_tot: 0.32 μB per cell
* volume: 102 Å³/cell
* energy relative to the lowest polymorph listed for this composition: 613.8 kJ/mol of formula units

abc: 4.0363 4.0363 6.2402
angles: 90.00 90.00 90.00
With the nearest neighbours (Å) after each atom.
Fractional positions:
La (0.0000, 0.0000, 0.0000)  4 N 2.02
C (0.5000, 0.5000, 0.5000)  4 S 2.85
S (0.0000, 0.0000, 0.5000)  4 C 2.85, 2 La 3.12
N (0.0000, 0.5000, 0.0000)  2 La 2.02
N (0.5000, 0.0000, 0.0000)  2 La 2.02


No. 4
Crystalline LaCS2N at its relaxed geometry. Source: the Alexandria database, functional GGA-PBE.

Properties
* crystal system: tetragonal
* M_tot: 1.14 μB per cell
* volume: 144 Å³/cell
* energy relative to the lowest polymorph listed for this composition: 602.2 kJ/mol of formula units

abc: 5.7747 5.7747 4.3137
angles: 90.00 90.00 90.00
With the nearest neighbours (Å) after each atom.
Fractional positions:
La (0.0000, 0.0000, 0.0000)  2 N 2.16
C (0.5000, 0.5000, 0.5000)  8 S 3.60
S (0.0000, 0.5000, 0.0000)  2 La 2.89
S (0.5000, 0.0000, 0.0000)  2 La 2.89
N (0.0000, 0.0000, 0.5000)  2 La 2.16


No. 5
Crystalline LaCS2N at its relaxed geometry. Source: the Alexandria database, functional GGA-PBE.

Properties
* crystal system: tetragonal
* M_tot: 1.07 μB per cell
* volume: 74 Å³/cell
* energy relative to the lowest polymorph listed for this composition: 0.0 kJ/mol of formula units

abc: 4.2660 4.2660 4.0896
angles: 90.00 90.00 90.00
With the nearest neighbours (Å) after each atom.
Fractional positions:
La (0.0000, 0.0000, 0.0000)  8 S 2.95, 4 N 3.02
C (0.5000, 0.5000, 0.5000)  2 N 2.04, 4 S 2.13
S (0.0000, 0.5000, 0.5000)  2 C 2.13
S (0.5000, 0.0000, 0.5000)  2 C 2.13
N (0.5000, 0.5000, 0.0000)  2 C 2.04


No. 6
Crystalline La6C2S3N at its relaxed geometry. Source: the Alexandria database, functional GGA-PBE.

Properties
* crystal system: monoclinic
* M_tot: 0.00 μB per cell
* volume: 275 Å³/cell

abc: 6.8506 6.8506 7.1376
angles: 99.21 99.21 119.99
With the nearest neighbours (Å) after each atom.
Fractional positions:
La (0.0720, 0.4033, 0.2158)  1 N 2.70, 2 C 2.72, 3 S 2.98
La (0.2595, 0.2595, 0.7834)  1 N 2.70, 2 C 2.72, 3 S 2.99
La (0.4033, 0.0720, 0.2158)  1 N 2.70, 2 C 2.72, 3 S 2.98
La (0.5967, 0.9280, 0.7842)  1 N 2.70, 2 C 2.72, 3 S 2.98
La (0.7405, 0.7405, 0.2166)  1 N 2.70, 2 C 2.72, 3 S 2.99
La (0.9280, 0.5967, 0.7842)  1 N 2.70, 2 C 2.72, 3 S 2.98
C (0.3336, 0.6664, 0.0000)  6 La 2.72
C (0.6664, 0.3336, 0.0000)  6 La 2.72
S (0.1680, 0.8320, 0.5000)  6 La 2.98-2.99
S (0.5000, 0.5000, 0.5000)  6 La 2.98-2.99
S (0.8320, 0.1680, 0.5000)  6 La 2.98-2.99
N (0.0000, 0.0000, 0.0000)  6 La 2.70


No. 7
Crystalline LaCSN2 at its relaxed geometry. Source: the Alexandria database, functional GGA-PBE.

Properties
* crystal system: tetragonal
* M_tot: 0.26 μB per cell
* volume: 62 Å³/cell
* energy relative to the lowest polymorph listed for this composition: 0.0 kJ/mol of formula units

abc: 4.0207 4.0207 3.8482
angles: 90.00 90.00 90.00
With the nearest neighbours (Å) after each atom.
Fractional positions:
La (0.0000, 0.0000, 0.0000)  8 N 2.78, 4 S 2.84
C (0.5000, 0.5000, 0.5000)  2 S 1.92, 4 N 2.01
S (0.5000, 0.5000, 0.0000)  2 C 1.92
N (0.0000, 0.5000, 0.5000)  2 C 2.01
N (0.5000, 0.0000, 0.5000)  2 C 2.01


No. 8
Crystalline LaSbCN2 at its relaxed geometry. Source: the Alexandria database, functional GGA-PBE.

Properties
* crystal system: tetragonal
* M_tot: 0.56 μB per cell
* volume: 122 Å³/cell

abc: 4.0065 4.0065 7.6192
angles: 90.00 90.00 90.00
With the nearest neighbours (Å) after each atom.
Fractional positions:
La (0.0000, 0.0000, 0.0000)  4 N 2.00
Sb (0.0000, 0.0000, 0.5000)  4 C 2.83
C (0.5000, 0.5000, 0.5000)  4 Sb 2.83
N (0.0000, 0.5000, 0.0000)  2 La 2.00
N (0.5000, 0.0000, 0.0000)  2 La 2.00


No. 9
Crystalline LaCSe2N at its relaxed geometry. Source: the Alexandria database, functional GGA-PBE.

Properties
* crystal system: tetragonal
* M_tot: 1.27 μB per cell
* volume: 87 Å³/cell
* energy relative to the lowest polymorph listed for this composition: 0.0 kJ/mol of formula units

abc: 4.8135 4.8135 3.7689
angles: 90.00 90.00 90.00
With the nearest neighbours (Å) after each atom.
Fractional positions:
La (0.0000, 0.0000, 0.0000)  8 Se 3.06, 4 N 3.40
C (0.5000, 0.5000, 0.5000)  2 N 1.88
Se (0.0000, 0.5000, 0.5000)  2 C 2.41
Se (0.5000, 0.0000, 0.5000)  2 C 2.41
N (0.5000, 0.5000, 0.0000)  2 C 1.88


No. 10
Crystalline LaCSe2N at its relaxed geometry. Source: the Alexandria database, functional GGA-PBE.

Properties
* crystal system: tetragonal
* M_tot: 1.15 μB per cell
* volume: 155 Å³/cell
* energy relative to the lowest polymorph listed for this composition: 499.9 kJ/mol of formula units

abc: 6.0332 6.0332 4.2665
angles: 90.00 90.00 90.00
With the nearest neighbours (Å) after each atom.
Fractional positions:
La (0.0000, 0.0000, 0.0000)  2 N 2.13
C (0.5000, 0.5000, 0.5000)  8 Se 3.69
Se (0.0000, 0.5000, 0.0000)  2 La 3.02
Se (0.5000, 0.0000, 0.0000)  2 La 3.02
N (0.0000, 0.0000, 0.5000)  2 La 2.13


No. 11
Crystalline La6C2Se3N at its relaxed geometry. Source: the Alexandria database, functional GGA-PBE.

Properties
* crystal system: monoclinic
* M_tot: 0.00 μB per cell
* volume: 290 Å³/cell

abc: 6.9244 6.9244 7.3566
angles: 99.03 99.03 119.98
With the nearest neighbours (Å) after each atom.
Fractional positions:
La (0.0691, 0.4006, 0.2071)  1 N 2.71, 2 C 2.73
La (0.2626, 0.2626, 0.7918)  1 N 2.72, 2 C 2.73
La (0.4006, 0.0691, 0.2071)  1 N 2.71, 2 C 2.73
La (0.5994, 0.9309, 0.7929)  1 N 2.71, 2 C 2.73
La (0.7374, 0.7374, 0.2082)  1 N 2.72, 2 C 2.73
La (0.9309, 0.5994, 0.7929)  1 N 2.71, 2 C 2.73
C (0.3336, 0.6664, 0.0000)  6 La 2.73
C (0.6664, 0.3336, 0.0000)  6 La 2.73
Se (0.1679, 0.8321, 0.5000)  6 La 3.08-3.09
Se (0.5000, 0.5000, 0.5000)  6 La 3.08-3.09
Se (0.8321, 0.1679, 0.5000)  6 La 3.08-3.09
N (0.0000, 0.0000, 0.0000)  6 La 2.71-2.72


No. 12
Crystalline LaCSeN2 at its relaxed geometry. Source: the Alexandria database, functional GGA-PBE.

Properties
* crystal system: tetragonal
* M_tot: 0.36 μB per cell
* volume: 108 Å³/cell
* energy relative to the lowest polymorph listed for this composition: 459.1 kJ/mol of formula units

abc: 4.0238 4.0238 6.6648
angles: 90.00 90.00 90.00
With the nearest neighbours (Å) after each atom.
Fractional positions:
La (0.0000, 0.0000, 0.0000)  4 N 2.01
C (0.5000, 0.5000, 0.5000)  4 Se 2.85
Se (0.0000, 0.0000, 0.5000)  4 C 2.85
N (0.0000, 0.5000, 0.0000)  2 La 2.01
N (0.5000, 0.0000, 0.0000)  2 La 2.01


| no. | raw formation energy (meV per atom) |
| --- | --- |
| 1 | -756 |
| 2 | 1462 |
| 3 | 2245 |
| 4 | 1745 |
| 5 | 497 |
| 6 | -1328 |
| 7 | 973 |
| 8 | 2013 |
| 9 | 604 |
| 10 | 1640 |
| 11 | -1239 |
| 12 | 2099 |